A plane-wave DFT calculation with PBE was carried out for a geometry-optimized LuVCoOs structure.

Summary:
As for the space group: F-43m, No. 216. The formation energy is -0.09 eV per atom.

Cell lengths 4.431, 4.431, 4.431 Å; angles 60.00, 60.00, 60.00 degrees
Atoms (fractional coordinates):
Lu1 0.000 0.000 0.000
V1 0.500 0.500 0.500
Co1 0.750 0.750 0.750
Os1 0.250 0.250 0.250